(1)
DFT (PBE-GGA) results for Mg3ZnSb after structural relaxation.

The structure in CIF format:
```
data_Mg3ZnSb
_chemical_formula_sum 'Mg3 Zn1 Sb1'
_space_group_name_H-M_alt 'P m -3 m'
_space_group_IT_number 221
_space_group_name_Hall '-P 4 2 3'
_cell_length_a 5.4392
_cell_length_b 5.4392
_cell_length_c 5.4392
_cell_angle_alpha 90.00
_cell_angle_beta 90.00
_cell_angle_gamma 90.00
loop_
_atom_site_label
_atom_site_type_symbol
_atom_site_fract_x
_atom_site_fract_y
_atom_site_fract_z
Mg1 Mg 0.0000 0.0000 0.5000
Zn1 Zn 0.5000 0.5000 0.5000
Sb1 Sb 0.0000 0.0000 0.0000
```

Summary:
E_tot	-1.632	eV/atom
volume	160.9	Å³/cell
polymorph energy (0 for the lowest one)	257.3	meV/atom


(2)
DFT (PBE-GGA) results for MgZnSb2 after structural relaxation.

The structure in CIF format:
```
data_MgZnSb2
_chemical_formula_sum 'Mg4 Zn4 Sb8'
_space_group_name_H-M_alt 'F m -3 m'
_space_group_IT_number 225
_space_group_name_Hall '-F 4 2 3'
_cell_length_a 7.2008
_cell_length_b 7.2008
_cell_length_c 7.2008
_cell_angle_alpha 90.00
_cell_angle_beta 90.00
_cell_angle_gamma 90.00
loop_
_atom_site_label
_atom_site_type_symbol
_atom_site_fract_x
_atom_site_fract_y
_atom_site_fract_z
Mg1 Mg 0.0000 0.0000 0.0000
Zn1 Zn 0.0000 0.0000 0.5000
Sb1 Sb 0.2500 0.2500 0.2500
```

Summary:
E_tot	-2.693	eV/atom
volume	373.4	Å³/cell
polymorph energy (0 for the lowest one)	113.1	meV/atom


(3)
DFT (PBE-GGA) results for MgZnSb2 after structural relaxation.

The structure in CIF format:
```
data_MgZnSb2
_chemical_formula_sum 'Mg2 Zn2 Sb4'
_space_group_name_H-M_alt 'I -4 m 2'
_space_group_IT_number 119
_space_group_name_Hall 'I -4 -2'
_cell_length_a 4.1610
_cell_length_b 4.1610
_cell_length_c 10.8709
_cell_angle_alpha 90.00
_cell_angle_beta 90.00
_cell_angle_gamma 90.00
loop_
_atom_site_label
_atom_site_type_symbol
_atom_site_fract_x
_atom_site_fract_y
_atom_site_fract_z
Mg1 Mg 0.0000 0.0000 0.0000
Zn1 Zn 0.0000 0.5000 0.2500
Sb1 Sb 0.0000 0.0000 0.5000
Sb2 Sb 0.0000 0.5000 0.7500
```

Summary:
E_tot	-2.744	eV/atom
volume	188.2	Å³/cell
polymorph energy (0 for the lowest one)	62.3	meV/atom


(4)
DFT (PBE-GGA) results for MgZrSb2 after structural relaxation.

The structure in CIF format:
```
data_MgZrSb2
_chemical_formula_sum 'Mg2 Zr2 Sb4'
_space_group_name_H-M_alt 'P -1'
_space_group_IT_number 2
_cell_length_a 5.7339
_cell_length_b 5.8676
_cell_length_c 5.9512
_cell_angle_alpha 101.84
_cell_angle_beta 92.65
_cell_angle_gamma 98.34
loop_
_space_group_symop_operation_xyz
'x,y,z'
'-x,-y,-z'
loop_
_atom_site_label
_atom_site_type_symbol
_atom_site_fract_x
_atom_site_fract_y
_atom_site_fract_z
Mg1 Mg 0.1854 0.2392 0.0482
Zr1 Zr 0.3515 0.8204 0.6424
Sb1 Sb 0.1788 0.2741 0.5448
Sb2 Sb 0.3081 0.7495 0.1113
```

Summary:
E_tot	-5.005	eV/atom
volume	193.3	Å³/cell


(5)
DFT (PBE-GGA) results for MgZr2Sb after structural relaxation.

The structure in CIF format:
```
data_MgZr2Sb
_chemical_formula_sum 'Mg3 Zr6 Sb3'
_space_group_name_H-M_alt 'R -3 m'
_space_group_IT_number 166
_space_group_name_Hall '-R 3 2"'
_cell_length_a 3.2407
_cell_length_b 3.2407
_cell_length_c 30.5891
_cell_angle_alpha 90.00
_cell_angle_beta 90.00
_cell_angle_gamma 120.00
loop_
_atom_site_label
_atom_site_type_symbol
_atom_site_fract_x
_atom_site_fract_y
_atom_site_fract_z
Mg1 Mg 0.0000 0.0000 0.0000
Zr1 Zr 0.0000 0.0000 0.2474
Sb1 Sb 0.0000 0.0000 0.5000
```

Summary:
E_tot	-5.791	eV/atom
volume	278.2	Å³/cell


(6)
DFT (PBE-GGA) results for MgZrSb2 after structural relaxation.

The structure in CIF format:
```
data_MgZrSb2
_chemical_formula_sum 'Mg4 Zr4 Sb8'
_space_group_name_H-M_alt 'I -4 2 d'
_space_group_IT_number 122
_space_group_name_Hall 'I -4 2bw'
_cell_length_a 6.6369
_cell_length_b 6.6369
_cell_length_c 12.9421
_cell_angle_alpha 90.00
_cell_angle_beta 90.00
_cell_angle_gamma 90.00
loop_
_atom_site_label
_atom_site_type_symbol
_atom_site_fract_x
_atom_site_fract_y
_atom_site_fract_z
Mg1 Mg 0.0000 0.0000 0.0000
Zr1 Zr 0.0000 0.0000 0.5000
Sb1 Sb 0.2434 0.2500 0.6250
```

Summary:
E_tot	-4.722	eV/atom
volume	570.1	Å³/cell